Entry i
Material: BeNO2
Method: DFT, PBE-GGA
State: relaxed

Cell: 3.4642 3.4642 3.4642 Å, 60.00 60.00 60.00°
Last column: nearest neighbours and their distance in Å.
Positions (direct):
Be (0.0000, 0.0000, 0.0000)  8 O 2.12
N (0.5000, 0.5000, 0.5000)  8 O 2.12
O (0.2500, 0.2500, 0.2500)  4 Be 2.12, 4 N 2.12
O (0.7500, 0.7500, 0.7500)  4 Be 2.12, 4 N 2.12

- crystal system = cubic
- volume (Å³ per cell) = 29.4

***

Entry ii
Material: BeNO2
Method: DFT, PBE-GGA
State: relaxed

Cell: 5.0429 5.0429 5.0429 Å, 35.00 35.00 35.00°
Last column: nearest neighbours and their distance in Å.
Positions (direct):
Be (0.0000, 0.0000, 0.0000)  2 O 1.45
N (0.5000, 0.5000, 0.5000)  6 O 1.97
O (0.1023, 0.1023, 0.1023)  1 Be 1.45
O (0.8977, 0.8977, 0.8977)  1 Be 1.45

- crystal system = trigonal
- volume (Å³ per cell) = 37.7

***

Relative energies in kJ/mol of atoms: entry i 43.0; entry ii 0.0

***

Entry i
Material: BeP2NO
Method: DFT, PBE-GGA
State: relaxed

Cell: 3.8831 3.8831 3.7130 Å, 90.00 90.00 90.00°
Last column: nearest neighbours and their distance in Å.
Positions (direct):
Be (0.0000, 0.0000, 0.0000)  8 P 2.69, 4 O 2.75
P (0.0000, 0.5000, 0.5000)  2 N 1.94
P (0.5000, 0.0000, 0.5000)  2 N 1.94
N (0.5000, 0.5000, 0.5000)  2 O 1.86, 4 P 1.94
O (0.5000, 0.5000, 0.0000)  2 N 1.86

- crystal system = tetragonal
- volume (Å³ per cell) = 56.0

***

Entry ii
Material: BeP2NO
Method: DFT, PBE-GGA
State: relaxed

Cell: 4.3765 4.3765 2.9803 Å, 90.00 90.00 90.00°
Last column: nearest neighbours and their distance in Å.
Positions (direct):
Be (0.0000, 0.0000, 0.0000)  2 O 1.49
P (0.0000, 0.5000, 0.0000)  2 Be 2.19
P (0.5000, 0.0000, 0.0000)  2 Be 2.19
N (0.5000, 0.5000, 0.5000)  8 P 2.65
O (0.0000, 0.0000, 0.5000)  2 Be 1.49

- crystal system = tetragonal
- volume (Å³ per cell) = 57.1

***

Relative energies in kJ/mol of atoms: entry i 26.1; entry ii 0.0

***

Entry i
Material: BeOs2N
Method: DFT, PBE-GGA
State: relaxed

Cell: 3.9195 3.9195 3.9195 Å, 60.00 60.00 60.00°
Last column: nearest neighbours and their distance in Å.
Positions (direct):
Be (0.0000, 0.0000, 0.0000)  8 Os 2.40
Os (0.2500, 0.2500, 0.2500)  4 Be 2.40, 4 N 2.40
Os (0.7500, 0.7500, 0.7500)  4 Be 2.40, 4 N 2.40
N (0.5000, 0.5000, 0.5000)  8 Os 2.40

- crystal system = cubic
- volume (Å³ per cell) = 42.6

***

Entry ii
Material: BeOs2N
Method: DFT, PBE-GGA
State: relaxed

Cell: 5.3901 5.3901 5.3901 Å, 122.61 122.61 85.54°
Last column: nearest neighbours and their distance in Å.
Positions (direct):
Be (0.0000, 0.0000, 0.0000)  4 Os 2.24
Be (0.7500, 0.2500, 0.5000)  4 Os 2.24
Os (0.1729, 0.6250, 0.0479)  2 N 1.94
Os (0.3750, 0.4229, 0.5479)  2 N 1.94
Os (0.5771, 0.1250, 0.9521)  2 N 1.94
Os (0.8750, 0.8271, 0.4521)  2 N 1.94
N (0.2500, 0.7500, 0.5000)  4 Os 1.94
N (0.5000, 0.5000, 0.0000)  4 Os 1.94

- crystal system = tetragonal
- volume (Å³ per cell) = 106.0

***

Relative energies in kJ/mol of atoms: entry i 9.2; entry ii 0.0

***

Entry i
Material: BeOsSN2
Method: DFT, PBE-GGA
State: relaxed

Cell: 3.4515 3.4515 4.4231 Å, 90.00 90.00 90.00°
Last column: nearest neighbours and their distance in Å.
Positions (direct):
Be (0.0000, 0.0000, 0.0000)  4 N 1.73
Os (0.5000, 0.5000, 0.5000)  4 S 2.44
S (0.0000, 0.0000, 0.5000)  2 Be 2.21, 4 Os 2.44
N (0.0000, 0.5000, 0.0000)  2 Be 1.73
N (0.5000, 0.0000, 0.0000)  2 Be 1.73

- crystal system = tetragonal
- volume (Å³ per cell) = 52.7

***

Entry ii
Material: BeOsSN2
Method: DFT, PBE-GGA
State: relaxed

Cell: 3.7209 3.7209 5.2453 Å, 90.00 90.00 90.00°
Last column: nearest neighbours and their distance in Å.
Positions (direct):
Be (0.0000, 0.0000, 0.0000)  4 S 2.63
Os (0.5000, 0.5000, 0.5000)  4 N 1.86
S (0.5000, 0.5000, 0.0000)  2 Os 2.62, 4 Be 2.63
N (0.0000, 0.5000, 0.5000)  2 Os 1.86
N (0.5000, 0.0000, 0.5000)  2 Os 1.86

- crystal system = tetragonal
- volume (Å³ per cell) = 72.6

***

Relative energies in kJ/mol of atoms: entry i 66.8; entry ii 0.0